Run i
# PmTc2Mo, optimized geometry, DFT PBE-GGA
data_PmTc2Mo
_chemical_formula_sum 'Pm3 Tc6 Mo3'
_cell_length_a 4.3625
_cell_length_b 4.3625
_cell_length_c 15.8383
_cell_angle_alpha 90.00
_cell_angle_beta 90.00
_cell_angle_gamma 120.00
_space_group_name_H-M_alt 'R -3 m'
_space_group_IT_number 166
_space_group_name_Hall '-R 3 2"'
loop_
_atom_site_label
_atom_site_fract_x
_atom_site_fract_y
_atom_site_fract_z
_atom_site_occupancy
Pm1 0.0000 0.0000 0.0000 1
Tc1 0.0000 0.0000 0.1963 1
Mo1 0.0000 0.0000 0.5000 1
# N(E_F) ... 10.93 states/eV per cell
# Total magnetization ... 0.00 μB per atom


Run ii
# PmTc2Mo, optimized geometry, DFT PBE-GGA
data_PmTc2Mo
_chemical_formula_sum 'Pm1 Tc2 Mo1'
_cell_length_a 3.202
_cell_length_b 3.202
_cell_length_c 7.132
_cell_angle_alpha 90.00
_cell_angle_beta 90.00
_cell_angle_gamma 90.00
_space_group_name_H-M_alt 'P 4/m m m'
_space_group_IT_number 123
_space_group_name_Hall '-P 4 2'
loop_
_atom_site_label
_atom_site_fract_x
_atom_site_fract_y
_atom_site_fract_z
_atom_site_occupancy
Pm1 0.000 0.000 0.000 1
Tc1 0.500 0.500 0.295 1
Mo1 0.000 0.000 0.500 1
# N(E_F) ... 4.18 states/eV per cell
# Total magnetization ... 0.00 μB per atom


Which structure wins on stability? run ii wins.


Run i
# PrSc2Mo, optimized geometry, DFT PBE-GGA
data_PrSc2Mo
_chemical_formula_sum 'Pr3 Sc6 Mo3'
_cell_length_a 3.2972
_cell_length_b 3.2972
_cell_length_c 31.9029
_cell_angle_alpha 90.00
_cell_angle_beta 90.00
_cell_angle_gamma 120.00
_space_group_name_H-M_alt 'R -3 m'
_space_group_IT_number 166
_space_group_name_Hall '-R 3 2"'
loop_
_atom_site_label
_atom_site_fract_x
_atom_site_fract_y
_atom_site_fract_z
_atom_site_occupancy
Pr1 0.0000 0.0000 0.0000 1
Sc1 0.0000 0.0000 0.1049 1
Mo1 0.0000 0.0000 0.5000 1
# N(E_F) ... 15.75 states/eV per cell
# Total magnetization ... 0.00 μB per atom


Run ii
# PrSc2Mo, optimized geometry, DFT PBE-GGA
data_PrSc2Mo
_chemical_formula_sum 'Pr1 Sc2 Mo1'
_cell_length_a 3.360
_cell_length_b 3.360
_cell_length_c 8.574
_cell_angle_alpha 90.00
_cell_angle_beta 90.00
_cell_angle_gamma 90.00
_space_group_name_H-M_alt 'P 4/m m m'
_space_group_IT_number 123
_space_group_name_Hall '-P 4 2'
loop_
_atom_site_label
_atom_site_fract_x
_atom_site_fract_y
_atom_site_fract_z
_atom_site_occupancy
Pr1 0.000 0.000 0.000 1
Sc1 0.500 0.500 0.315 1
Mo1 0.000 0.000 0.500 1
# N(E_F) ... 6.25 states/eV per cell
# Total magnetization ... 0.00 μB per atom


Which structure wins on stability? run ii wins.


Run i
# PrTh2Mo, optimized geometry, DFT PBE-GGA
data_PrTh2Mo
_chemical_formula_sum 'Pr1 Th2 Mo1'
_cell_length_a 3.604
_cell_length_b 3.604
_cell_length_c 8.694
_cell_angle_alpha 90.00
_cell_angle_beta 90.00
_cell_angle_gamma 90.00
_space_group_name_H-M_alt 'P 4/m m m'
_space_group_IT_number 123
_space_group_name_Hall '-P 4 2'
loop_
_atom_site_label
_atom_site_fract_x
_atom_site_fract_y
_atom_site_fract_z
_atom_site_occupancy
Pr1 0.000 0.000 0.000 1
Th1 0.500 0.500 0.296 1
Mo1 0.000 0.000 0.500 1
# N(E_F) ... 5.09 states/eV per cell
# Total magnetization ... 0.00 μB per atom


Run ii
# PrTh2Mo, optimized geometry, DFT PBE-GGA
data_PrTh2Mo
_chemical_formula_sum 'Pr3 Th6 Mo3'
_cell_length_a 3.5192
_cell_length_b 3.5192
_cell_length_c 33.2289
_cell_angle_alpha 90.00
_cell_angle_beta 90.00
_cell_angle_gamma 120.00
_space_group_name_H-M_alt 'R -3 m'
_space_group_IT_number 166
_space_group_name_Hall '-R 3 2"'
loop_
_atom_site_label
_atom_site_fract_x
_atom_site_fract_y
_atom_site_fract_z
_atom_site_occupancy
Pr1 0.0000 0.0000 0.0000 1
Th1 0.0000 0.0000 0.1009 1
Mo1 0.0000 0.0000 0.5000 1
# N(E_F) ... 14.84 states/eV per cell
# Total magnetization ... 0.00 μB per atom


Which structure wins on stability? run i wins.


Run i
# Mo4Pt3, optimized geometry, DFT PBE-GGA
data_Mo4Pt3
_chemical_formula_sum 'Mo24 Pt18'
_cell_length_a 11.8406
_cell_length_b 11.8406
_cell_length_c 5.5260
_cell_angle_alpha 90.00
_cell_angle_beta 90.00
_cell_angle_gamma 120.00
_space_group_name_H-M_alt 'R -3'
_space_group_IT_number 148
_space_group_name_Hall '-R 3'
loop_
_atom_site_label
_atom_site_fract_x
_atom_site_fract_y
_atom_site_fract_z
_atom_site_occupancy
Mo1 0.0000 0.0000 0.0000 1
Mo2 0.0000 0.0000 0.5000 1
Mo3 0.0611 0.2625 0.2112 1
Pt1 0.0561 0.2296 0.7346 1
# N(E_F) ... 42.49 states/eV per cell
# Total magnetization ... 0.00 μB per atom


Run ii
# Mo4Pt3, optimized geometry, DFT PBE-GGA
data_Mo4Pt3
_chemical_formula_sum 'Mo4 Pt3'
_cell_length_a 5.1412
_cell_length_b 5.1412
_cell_length_c 4.9098
_cell_angle_alpha 90.00
_cell_angle_beta 90.00
_cell_angle_gamma 120.00
_space_group_name_H-M_alt 'P 6/m m m'
_space_group_IT_number 191
_space_group_name_Hall '-P 6 2'
loop_
_atom_site_label
_atom_site_fract_x
_atom_site_fract_y
_atom_site_fract_z
_atom_site_occupancy
Mo1 0.0000 0.0000 0.2293 1
Mo2 0.3333 0.6667 0.0000 1
Pt1 0.0000 0.5000 0.5000 1
# N(E_F) ... 6.19 states/eV per cell
# Total magnetization ... 0.00 μB per atom


Run iii
# Mo4Pt3, optimized geometry, DFT PBE-GGA
data_Mo4Pt3
_chemical_formula_sum 'Mo8 Pt6'
_cell_length_a 3.333
_cell_length_b 3.333
_cell_length_c 20.049
_cell_angle_alpha 90.00
_cell_angle_beta 90.00
_cell_angle_gamma 90.00
_space_group_name_H-M_alt 'I 4/m m m'
_space_group_IT_number 139
_space_group_name_Hall '-I 4 2'
loop_
_atom_site_label
_atom_site_fract_x
_atom_site_fract_y
_atom_site_fract_z
_atom_site_occupancy
Mo1 0.000 0.000 0.074 1
Mo2 0.000 0.000 0.357 1
Pt1 0.000 0.000 0.213 1
Pt2 0.000 0.000 0.500 1
# N(E_F) ... 17.14 states/eV per cell
# Total magnetization ... 0.00 μB per atom


Which structure wins on stability? run i wins.


Run i
# MoPt5, optimized geometry, DFT PBE-GGA
data_MoPt5
_chemical_formula_sum 'Mo1 Pt5'
_cell_length_a 4.8428
_cell_length_b 4.8428
_cell_length_c 4.6113
_cell_angle_alpha 90.00
_cell_angle_beta 90.00
_cell_angle_gamma 120.00
_space_group_name_H-M_alt 'P -6 2 m'
_space_group_IT_number 189
_space_group_name_Hall 'P -6 -2'
loop_
_atom_site_label
_atom_site_fract_x
_atom_site_fract_y
_atom_site_fract_z
_atom_site_occupancy
Mo1 0.0000 0.0000 0.0000 1
Pt1 0.0000 0.6714 0.5000 1
Pt2 0.3333 0.6667 0.0000 1
# N(E_F) ... 7.95 states/eV per cell
# Total magnetization ... 0.00 μB per atom


Run ii
# MoPt5, optimized geometry, DFT PBE-GGA
data_MoPt5
_chemical_formula_sum 'Mo2 Pt10'
_cell_length_a 10.456
_cell_length_b 2.831
_cell_length_c 6.605
_cell_angle_alpha 90.00
_cell_angle_beta 105.72
_cell_angle_gamma 90.00
_space_group_name_H-M_alt 'C 1 m 1'
_space_group_IT_number 8
loop_
_space_group_symop_operation_xyz
'x,y,z'
'x,-y,z'
'x+1/2,y+1/2,z'
'x+1/2,-y+1/2,z'
loop_
_atom_site_label
_atom_site_fract_x
_atom_site_fract_y
_atom_site_fract_z
_atom_site_occupancy
Mo1 0.000 0.000 0.000 1
Pt1 0.049 0.000 0.611 1
Pt2 0.164 0.500 0.329 1
Pt3 0.214 0.500 0.941 1
Pt4 0.336 0.000 0.680 1
Pt5 0.390 0.000 0.267 1
# N(E_F) ... 13.98 states/eV per cell
# Total magnetization ... 0.00 μB per atom


Run iii
# MoPt5, optimized geometry, DFT PBE-GGA
data_MoPt5
_chemical_formula_sum 'Mo4 Pt20'
_cell_length_a 7.342
_cell_length_b 7.342
_cell_length_c 7.342
_cell_angle_alpha 90.00
_cell_angle_beta 90.00
_cell_angle_gamma 90.00
_space_group_name_H-M_alt 'F -4 3 m'
_space_group_IT_number 216
_space_group_name_Hall 'F -4 2 3'
loop_
_atom_site_label
_atom_site_fract_x
_atom_site_fract_y
_atom_site_fract_z
_atom_site_occupancy
Mo1 0.000 0.000 0.000 1
Pt1 0.125 0.125 0.625 1
Pt2 0.250 0.250 0.250 1
# N(E_F) ... 19.07 states/eV per cell
# Total magnetization ... 0.00 μB per atom


Which structure wins on stability? run i wins.


Run i
# Mo4Pt5, optimized geometry, DFT PBE-GGA
data_Mo4Pt5
_chemical_formula_sum 'Mo8 Pt10'
_cell_length_a 7.7430
_cell_length_b 7.7430
_cell_length_c 5.5182
_cell_angle_alpha 90.00
_cell_angle_beta 90.00
_cell_angle_gamma 120.00
_space_group_name_H-M_alt 'P 63/m c m'
_space_group_IT_number 193
_space_group_name_Hall '-P 6c 2'
loop_
_atom_site_label
_atom_site_fract_x
_atom_site_fract_y
_atom_site_fract_z
_atom_site_occupancy
Mo1 0.0000 0.0000 0.0000 1
Mo2 0.0000 0.3264 0.2500 1
Pt1 0.0000 0.3314 0.7500 1
Pt2 0.3333 0.6667 0.0000 1
# N(E_F) ... 19.87 states/eV per cell
# Total magnetization ... 0.00 μB per atom


Run ii
# Mo4Pt5, optimized geometry, DFT PBE-GGA
data_Mo4Pt5
_chemical_formula_sum 'Mo8 Pt10'
_cell_length_a 8.485
_cell_length_b 8.485
_cell_length_c 3.903
_cell_angle_alpha 90.00
_cell_angle_beta 90.00
_cell_angle_gamma 90.00
_space_group_name_H-M_alt 'I 4/m m m'
_space_group_IT_number 139
_space_group_name_Hall '-I 4 2'
loop_
_atom_site_label
_atom_site_fract_x
_atom_site_fract_y
_atom_site_fract_z
_atom_site_occupancy
Mo1 0.000 0.339 0.000 1
Pt1 0.000 0.000 0.000 1
Pt2 0.170 0.170 0.500 1
# N(E_F) ... 13.73 states/eV per cell
# Total magnetization ... 0.00 μB per atom


Which structure wins on stability? run ii wins.


Run i
# Mo2Pt3, optimized geometry, DFT PBE-GGA
data_Mo2Pt3
_chemical_formula_sum 'Mo16 Pt24'
_cell_length_a 9.399
_cell_length_b 13.824
_cell_length_c 4.864
_cell_angle_alpha 90.00
_cell_angle_beta 90.00
_cell_angle_gamma 90.00
_space_group_name_H-M_alt 'F d d 2'
_space_group_IT_number 43
_space_group_name_Hall 'F 2 -2d'
loop_
_atom_site_label
_atom_site_fract_x
_atom_site_fract_y
_atom_site_fract_z
_atom_site_occupancy
Mo1 0.023 0.203 0.000 1
Pt1 0.000 0.000 0.036 1
Pt2 0.031 0.104 0.520 1
# N(E_F) ... 44.26 states/eV per cell
# Total magnetization ... 0.00 μB per atom


Run ii
# Mo2Pt3, optimized geometry, DFT PBE-GGA
data_Mo2Pt3
_chemical_formula_sum 'Mo6 Pt9'
_cell_length_a 4.4744
_cell_length_b 4.4744
_cell_length_c 13.7815
_cell_angle_alpha 90.00
_cell_angle_beta 90.00
_cell_angle_gamma 120.00
_space_group_name_H-M_alt 'R -3 m'
_space_group_IT_number 166
_space_group_name_Hall '-R 3 2"'
loop_
_atom_site_label
_atom_site_fract_x
_atom_site_fract_y
_atom_site_fract_z
_atom_site_occupancy
Mo1 0.0000 0.0000 0.0953 1
Pt1 0.0000 0.0000 0.2983 1
Pt2 0.0000 0.0000 0.5000 1
# N(E_F) ... 18.25 states/eV per cell
# Total magnetization ... 0.00 μB per atom


Which structure wins on stability? run i wins.


Run i
# Mo5Pt3, optimized geometry, DFT PBE-GGA
data_Mo5Pt3
_chemical_formula_sum 'Mo20 Pt12'
_cell_length_a 4.990
_cell_length_b 14.325
_cell_length_c 7.595
_cell_angle_alpha 90.00
_cell_angle_beta 109.12
_cell_angle_gamma 90.00
_space_group_name_H-M_alt 'C 1 2/m 1'
_space_group_IT_number 12
loop_
_space_group_symop_operation_xyz
'x,y,z'
'-x,-y,-z'
'-x,y,-z'
'x,-y,z'
'x+1/2,y+1/2,z'
'-x+1/2,-y+1/2,-z'
'-x+1/2,y+1/2,-z'
'x+1/2,-y+1/2,z'
loop_
_atom_site_label
_atom_site_fract_x
_atom_site_fract_y
_atom_site_fract_z
_atom_site_occupancy
Mo1 0.097 0.174 0.195 1
Mo2 0.173 0.403 0.347 1
Mo3 0.250 0.000 0.000 1
Pt1 0.000 0.250 0.500 1
Pt2 0.000 0.332 0.000 1
Pt3 0.166 0.000 0.335 1
# N(E_F) ... 40.65 states/eV per cell
# Total magnetization ... 0.00 μB per atom


Run ii
# Mo5Pt3, optimized geometry, DFT PBE-GGA
data_Mo5Pt3
_chemical_formula_sum 'Mo10 Pt6'
_cell_length_a 7.8624
_cell_length_b 7.8624
_cell_length_c 4.8618
_cell_angle_alpha 90.00
_cell_angle_beta 90.00
_cell_angle_gamma 120.00
_space_group_name_H-M_alt 'P 63/m c m'
_space_group_IT_number 193
_space_group_name_Hall '-P 6c 2'
loop_
_atom_site_label
_atom_site_fract_x
_atom_site_fract_y
_atom_site_fract_z
_atom_site_occupancy
Mo1 0.0000 0.1997 0.2500 1
Mo2 0.3333 0.6667 0.0000 1
Pt1 0.0000 0.4054 0.7500 1
# N(E_F) ... 10.31 states/eV per cell
# Total magnetization ... 0.00 μB per atom


Which structure wins on stability? run i wins.